Entry from Alexandria via LeMat-Bulk: Ti2NiS4 after structural relaxation (PBE).

Relative energy among the computed polymorphs: 0 meV per atom
SG: Fd-3m, No. 227
ΔE_f (raw): -777 kJ/mol of formula units
Density of states at the Fermi level: 2.54 states/eV/f.u.
Energy: -6.59 eV/atom

Structure (CIF):
```
data_Ti2NiS4
_chemical_formula_sum 'Ti4 Ni2 S8'
_space_group_name_H-M_alt 'P 1'
_space_group_IT_number 1
_cell_length_a 6.998
_cell_length_b 6.998
_cell_length_c 6.998
_cell_angle_alpha 60.00
_cell_angle_beta 60.00
_cell_angle_gamma 60.00
loop_
_space_group_symop_operation_xyz
'x,y,z'
loop_
_atom_site_label
_atom_site_fract_x
_atom_site_fract_y
_atom_site_fract_z
Ti1 0.000 0.000 0.000
Ti2 0.000 0.000 0.500
Ti3 0.000 0.500 0.000
Ti4 0.500 0.000 0.000
Ni1 0.375 0.375 0.375
Ni2 0.625 0.625 0.625
S1 0.243 0.752 0.752
S2 0.248 0.248 0.248
S3 0.248 0.248 0.757
S4 0.248 0.757 0.248
S5 0.752 0.243 0.752
S6 0.752 0.752 0.243
S7 0.752 0.752 0.752
S8 0.757 0.248 0.248
```